Record 1
A relaxed structure of LiNd3Pd8. Source: Alexandria, functional PBE-GGA.

Output
The total energy comes out at -5.509 eV per atom. As for the crystal system: trigonal. Its space group is R3m. For the calculated formation energy, the calculation gives -8.34 eV/f.u.

```
12
Lattice="-0.3370 0.3545 5.4507 3.5601 -2.7182 3.1442 6.5538 6.2510 2.7459" Properties=species:S:1:pos:R:3 pbc="T T T"
Li 5.4258 0.4659 8.5470
Nd 6.8880 4.5124 5.6270
Nd 3.3841 -2.1568 8.5914
Nd 4.7589 1.7772 5.6732
Pd 2.4498 0.3001 7.0108
Pd 7.6823 1.8836 7.2176
Pd 2.6196 0.1215 4.2644
Pd 7.5134 2.0613 9.9491
Pd 3.4531 2.2678 2.8133
Pd 8.3453 4.2164 8.4836
Pd 4.4134 -1.2480 5.8486
Pd 5.7293 3.4234 8.3734
```

=====

Record 2
A relaxed structure of LiNd3Pd12. Source: Alexandria, functional PBE-GGA.

Output
The total energy comes out at -5.529 eV per atom. As for the crystal system: tetragonal. Its space group is P4/mmm. For the calculated formation energy, the calculation gives -9.94 eV/f.u.

```
16
Lattice="4.1822 0.0000 0.0000 0.0000 4.1822 0.0000 0.0000 0.0000 16.1372" Properties=species:S:1:pos:R:3 pbc="T T T"
Li 0.0000 0.0000 0.0000
Nd 0.0000 0.0000 3.8495
Nd 0.0000 0.0000 8.0686
Nd 0.0000 0.0000 12.2877
Pd 2.0911 2.0911 0.0000
Pd 2.0911 2.0911 3.8553
Pd 2.0911 2.0911 8.0686
Pd 2.0911 2.0911 12.2819
Pd 2.0911 0.0000 1.7608
Pd 2.0911 0.0000 5.9658
Pd 2.0911 0.0000 10.1715
Pd 2.0911 0.0000 14.3764
Pd 0.0000 2.0911 1.7608
Pd 0.0000 2.0911 5.9658
Pd 0.0000 2.0911 10.1715
Pd 0.0000 2.0911 14.3764
```

=====

Record 3
A relaxed structure of Li6Nd2Pd3. Source: Alexandria, functional PBE-GGA.

Output
The total energy comes out at -3.675 eV per atom. As for the crystal system: hexagonal. Its space group is P-62m. For the calculated formation energy, the calculation gives -3.82 eV/f.u.

```
11
Lattice="4.0092 0.0000 0.0000 0.0000 6.8008 -3.9264 0.0000 0.0000 7.8528" Properties=species:S:1:pos:R:3 pbc="T T T"
Li 2.0046 1.7342 -1.0012
Li 2.0046 5.0666 2.9252
Li 0.0000 5.3860 -3.1096
Li 0.0000 0.0000 6.2192
Li 2.0046 0.0000 2.0024
Li 0.0000 1.4148 0.8168
Nd 0.0000 4.5338 0.0000
Nd 0.0000 2.2669 3.9264
Pd 2.0046 4.0028 -2.3110
Pd 2.0046 0.0000 4.6220
Pd 2.0046 2.7980 1.6154
```

=====

Record 4
A relaxed structure of LiNd4Pd3. Source: Alexandria, functional PBE-GGA.

Output
The total energy comes out at -5.134 eV per atom. As for the crystal system: orthorhombic. Its space group is Pmm2. For the calculated formation energy, the calculation gives -4.51 eV/f.u.

```
8
Lattice="3.9032 0.0000 0.0000 0.0000 4.6979 0.0000 0.0000 0.0000 10.9796" Properties=species:S:1:pos:R:3 pbc="T T T"
Nd 1.9516 2.3490 4.0646
Nd 0.0000 2.3490 9.3445
Nd 0.0000 0.0000 1.5518
Nd 1.9516 0.0000 7.0030
Pd 0.0000 2.3490 6.4427
Pd 0.0000 0.0000 4.5971
Pd 1.9516 0.0000 10.1739
Li 1.9516 2.3490 0.7408
```

=====

Record 5
A relaxed structure of Li4Nd3Pd4. Source: Alexandria, functional PBE-GGA.

Output
The total energy comes out at -4.408 eV per atom. As for the crystal system: orthorhombic. Its space group is Immm. For the calculated formation energy, the calculation gives -5.76 eV/f.u.

```
11
Lattice="-3.9016 -0.1956 -1.2476 2.0255 2.7074 -6.7589 2.0312 -7.9774 1.6384" Properties=species:S:1:pos:R:3 pbc="T T T"
Li 0.3244 -4.8732 -0.2504
Li -0.9385 -1.6205 -3.5510
Li -0.1693 -0.5923 -6.1177
Li 1.0935 -3.8451 -2.8170
Nd 0.2723 -1.6741 -0.5890
Nd -0.1172 -3.7915 -5.7790
Nd 1.0127 1.3537 -3.3794
Pd 1.4939 -1.6047 -4.4203
Pd -1.3388 -3.8609 -1.9477
Pd -0.3166 2.0866 -6.0771
Pd -1.5596 0.4252 -1.9294
```

=====

Record 6
A relaxed structure of LiNdPd2. Source: Alexandria, functional PBE-GGA.

Output
The total energy comes out at -4.884 eV per atom. As for the crystal system: trigonal. Its space group is R-3m. For the calculated formation energy, the calculation gives -2.47 eV/f.u.

```
4
Lattice="-3.3129 -1.7700 -2.1993 0.4196 -3.9634 -1.7495 -2.6248 -3.8961 2.7823" Properties=species:S:1:pos:R:3 pbc="T T T"
Nd 0.0000 0.0000 0.0000
Pd -3.9643 -7.0138 -1.3051
Pd -1.5538 -2.6157 0.1385
Li -2.7590 -4.8148 -0.5833
```

=====

Record 7
A relaxed structure of Li6Nd2Pd9. Source: Alexandria, functional PBE-GGA.

Output
The total energy comes out at -4.406 eV per atom. As for the crystal system: hexagonal. Its space group is P6/mmm. For the calculated formation energy, the calculation gives -7.15 eV/f.u.

```
17
Lattice="-1.1507 2.2386 -4.8793 4.5740 -2.9665 0.6492 -5.9658 -9.8829 -3.1273" Properties=species:S:1:pos:R:3 pbc="T T T"
Li 2.6658 -1.2315 -1.1936
Li 0.7575 0.5036 -3.0365
Li -1.2689 -7.7497 -3.2562
Li -3.1771 -6.0146 -5.0991
Li -1.2735 -2.8611 -4.1012
Li 0.6347 -4.5962 -2.2584
Nd -4.1084 -6.8059 -2.1536
Nd -1.8574 -3.0770 -0.9737
Pd -5.4696 -6.9885 -5.0052
Pd -2.6072 -9.5910 -2.2410
Pd -3.1826 -8.4717 -4.6807
Pd -1.6469 -0.6558 -3.0014
Pd 1.2155 -3.2583 -0.2371
Pd 0.6401 -2.1390 -2.6768
Pd -3.5582 -3.8221 -4.0033
Pd -0.6959 -6.4247 -1.2391
Pd -1.2712 -5.3054 -3.6787
```

=====

Record 8
A relaxed structure of Li4NdPd8. Source: Alexandria, functional PBE-GGA.

Output
The total energy comes out at -4.602 eV per atom. As for the crystal system: tetragonal. Its space group is I4/mmm. For the calculated formation energy, the calculation gives -5.86 eV/f.u.

```
13
Lattice="4.6245 0.0000 1.8589 2.3123 6.3483 0.9294 -0.0554 0.0000 6.8197" Properties=species:S:1:pos:R:3 pbc="T T T"
Li -0.0277 0.0000 3.4099
Li 2.2846 0.0000 4.3393
Li 1.1561 3.1742 0.4647
Li 3.4684 3.1742 1.3941
Nd 0.0000 0.0000 0.0000
Pd 0.7747 2.2258 4.7545
Pd 1.4821 4.1225 2.9946
Pd 3.0870 4.1225 5.6840
Pd 3.7944 2.2258 3.9241
Pd 4.1023 4.9480 3.1581
Pd 2.7791 1.4003 6.4499
Pd 1.7900 1.4003 2.2287
Pd 5.0914 4.9480 7.3793
```

=====

Record 9
A relaxed structure of Li8NdPd4. Source: Alexandria, functional PBE-GGA.

Output
The total energy comes out at -3.505 eV per atom. As for the crystal system: tetragonal. Its space group is I4/mmm. For the calculated formation energy, the calculation gives -4.71 eV/f.u.

```
13
Lattice="5.1683 0.0000 2.0774 2.5841 6.1940 1.0387 0.2741 0.0000 6.7858" Properties=species:S:1:pos:R:3 pbc="T T T"
Li 1.0773 2.1536 4.7875
Li 1.7809 4.0403 3.0370
Li 3.6614 4.0403 5.8262
Li 4.3651 2.1536 4.0757
Li 4.6497 4.8036 3.3675
Li 3.3767 1.3904 6.5345
Li 2.0656 1.3904 2.3288
Li 5.9609 4.8036 7.5732
Nd 0.0000 0.0000 0.0000
Pd 0.1370 0.0000 3.3929
Pd 2.7212 0.0000 4.4316
Pd 1.2921 3.0970 0.5194
Pd 3.8762 3.0970 1.5581
```

=====

Record 10
A relaxed structure of LiNdPd2. Source: Alexandria, functional PBE-GGA.

Output
The total energy comes out at -4.740 eV per atom. As for the crystal system: orthorhombic. Its space group is Cmmm. For the calculated formation energy, the calculation gives -1.89 eV/f.u.

```
4
Lattice="3.7585 0.0000 0.0000 0.0000 4.7988 -0.0799 0.0000 -1.2123 4.6438" Properties=species:S:1:pos:R:3 pbc="T T T"
Li 1.8793 1.4628 2.5416
Nd 0.0000 4.4684 0.1797
Pd 1.8793 3.8618 2.5020
Pd 1.8793 2.0685 0.2200
```

=====

Record 11
A relaxed structure of LiNd2Pd. Source: Alexandria, functional PBE-GGA.

Output
The total energy comes out at -4.477 eV per atom. As for the crystal system: tetragonal. Its space group is P4/mmm. For the calculated formation energy, the calculation gives -1.27 eV/f.u.

```
4
Lattice="3.7791 0.0000 0.0000 0.0000 5.1117 0.0000 0.0000 0.0000 5.1117" Properties=species:S:1:pos:R:3 pbc="T T T"
Nd 0.0000 0.0000 2.5559
Nd 0.0000 2.5559 0.0000
Pd 1.8895 0.0000 0.0000
Li 1.8895 2.5559 2.5559
```

=====

Record 12
A relaxed structure of LiNd2Pd. Source: Alexandria, functional PBE-GGA.

Output
The total energy comes out at -4.360 eV per atom. As for the crystal system: trigonal. Its space group is R3m. For the calculated formation energy, the calculation gives -0.80 eV/f.u.

```
4
Lattice="-1.0045 -3.7508 1.6746 2.4256 -1.6812 3.0286 -3.9059 1.8308 7.0967" Properties=species:S:1:pos:R:3 pbc="T T T"
Li -1.2154 -1.8231 5.8658
Nd -3.0468 1.1164 6.0121
Nd -0.3943 -1.0890 2.6635
Pd 0.9292 -3.6062 3.1584
```